(1)
This record from Alexandria describes InCuSe2N after structural relaxation. The functional is GGA-PBE.

Calculated values
As for the space group: P4/mmm, No. 123. The value obtained for the raw total energy is -16.52 eV/f.u. As for the spin magnetization: 2.719 μB per cell.

a b c (Å): 5.379 5.379 4.129
angles (deg): 90.00 90.00 90.00
Last column: magnetic moment on the atom in μB.
Fractional positions:
N1 0.000 0.000 0.500  1.10
Cu1 0.500 0.500 0.500  0.12
Se1 0.000 0.500 0.000  0.34
Se2 0.500 0.000 0.000  0.34
In1 0.000 0.000 0.000  -0.01

***

(2)
This record from Alexandria describes InCuSe2N after structural relaxation. The functional is GGA-PBE.

Calculated values
As for the space group: P4/mmm, No. 123. The value obtained for the raw total energy is -19.06 eV/f.u. As for the spin magnetization: 1.245 μB per cell.

a b c (Å): 5.112 5.112 3.627
angles (deg): 90.00 90.00 90.00
Last column: magnetic moment on the atom in μB.
Fractional positions:
N1 0.000 0.000 0.500  0.77
Cu1 0.000 0.000 0.000  0.13
Se1 0.000 0.500 0.000  0.03
Se2 0.500 0.000 0.000  0.03
In1 0.500 0.500 0.500  -0.01

***

(3)
This record from Alexandria describes Sr2InCuN after structural relaxation. The functional is GGA-PBE.

Calculated values
As for the space group: P4/mmm, No. 123. The value obtained for the raw total energy is -19.82 eV/f.u. As for the spin magnetization: 0.001 μB per cell.

a b c (Å): 5.615 5.615 3.754
angles (deg): 90.00 90.00 90.00
Fractional positions:
Sr1 0.000 0.500 0.000
Sr2 0.500 0.000 0.000
N1 0.000 0.000 0.000
Cu1 0.000 0.000 0.500
In1 0.500 0.500 0.500

***

(4)
This record from Alexandria describes SrInCu2N after structural relaxation. The functional is GGA-PBE.

Calculated values
As for the space group: P4/mmm, No. 123. The value obtained for the raw total energy is -11.14 eV/f.u. As for the spin magnetization: 2.022 μB per cell.

a b c (Å): 5.629 6.846 5.629
angles (deg): 90.00 90.00 90.00
Last column: magnetic moment on the atom in μB.
Fractional positions:
Sr1 0.000 0.000 0.000  -0.06
N1 0.500 0.500 0.500  1.74
Cu1 0.000 0.000 0.500  0.02
Cu2 0.500 0.000 0.000  0.03
In1 0.000 0.500 0.000  -0.15

***

(5)
This record from Alexandria describes InCuTeN2 after structural relaxation. The functional is GGA-PBE.

Calculated values
As for the space group: P4/mmm, No. 123. The value obtained for the raw total energy is -19.04 eV/f.u. As for the spin magnetization: 3.444 μB per cell.

a b c (Å): 4.166 4.166 6.365
angles (deg): 90.00 90.00 90.00
Last column: magnetic moment on the atom in μB.
Fractional positions:
N1 0.000 0.500 0.000  1.09
N2 0.500 0.000 0.000  1.09
Te1 0.000 0.000 0.500  0.16
Cu1 0.500 0.500 0.500  0.05
In1 0.000 0.000 0.000  -0.01

***

(6)
This record from Alexandria describes InCuTeN2 after structural relaxation. The functional is GGA-PBE.

Calculated values
As for the space group: P4/mmm, No. 123. The value obtained for the raw total energy is -19.64 eV/f.u. As for the spin magnetization: 3.324 μB per cell.

a b c (Å): 4.091 4.091 5.471
angles (deg): 90.00 90.00 90.00
Last column: magnetic moment on the atom in μB.
Fractional positions:
N1 0.000 0.500 0.000  1.05
N2 0.500 0.000 0.000  1.05
Te1 0.000 0.000 0.500  0.11
Cu1 0.000 0.000 0.000  0.20
In1 0.500 0.500 0.500  -0.02

***

(7)
This record from Alexandria describes Na3InCu after structural relaxation. The functional is GGA-PBE.

Calculated values
As for the space group: Pm-3m, No. 221. The value obtained for the raw total energy is -9.34 eV/f.u. As for the spin magnetization: 0.000 μB per cell. The calculation puts the calculated formation energy at 28.1 kJ per mole of atoms.

a b c (Å): 5.392 5.392 5.392
angles (deg): 90.00 90.00 90.00
Fractional positions:
Na1 0.000 0.500 0.000
Na2 0.000 0.000 0.500
Na3 0.500 0.000 0.000
Cu1 0.000 0.000 0.000
In1 0.500 0.500 0.500

***

(8)
This record from Alexandria describes Na2In9Cu3 after structural relaxation. The functional is GGA-PBE.

Calculated values
As for the space group: C2/c, No. 15. The value obtained for the raw total energy is -39.79 eV/f.u. As for the spin magnetization: 0.000 μB per cell. The calculation puts the calculated formation energy at -1.5 kJ per mole of atoms.

a b c (Å): 8.317 8.317 11.690
angles (deg): 90.04 110.93 119.80
Fractional positions:
Na1 0.326 0.248 0.750
Na2 0.674 0.752 0.250
Na3 0.998 0.576 0.750
Na4 0.002 0.424 0.250
In1 0.435 0.916 0.747
In2 0.565 0.084 0.253
In3 0.669 0.688 0.753
In4 0.331 0.312 0.247
In5 0.442 0.633 0.928
In6 0.558 0.367 0.072
In7 0.205 0.514 0.572
In8 0.795 0.486 0.428
In9 0.879 0.129 0.750
In10 0.121 0.871 0.250
In11 0.136 0.977 0.938
In12 0.864 0.023 0.062
In13 0.538 0.198 0.562
In14 0.462 0.802 0.438
In15 0.899 0.857 0.577
In16 0.101 0.143 0.423
In17 0.781 0.323 0.923
In18 0.219 0.677 0.077
Cu1 0.500 0.000 0.000
Cu2 0.500 0.500 0.500
Cu3 0.831 0.165 0.504
Cu4 0.169 0.835 0.496
Cu5 0.161 0.327 0.996
Cu6 0.839 0.673 0.004

***

(9)
This record from Alexandria describes NaIn2Cu2 after structural relaxation. The functional is GGA-PBE.

Calculated values
As for the space group: P4/mbm, No. 127. The value obtained for the raw total energy is -14.72 eV/f.u. As for the spin magnetization: 0.000 μB per cell. The calculation puts the calculated formation energy at 5.2 kJ per mole of atoms.

a b c (Å): 8.263 8.263 2.841
angles (deg): 90.00 90.00 90.00
Fractional positions:
Na1 0.000 0.000 0.000
Na2 0.500 0.500 0.000
Cu1 0.158 0.658 0.500
Cu2 0.658 0.842 0.500
Cu3 0.842 0.342 0.500
Cu4 0.342 0.158 0.500
In1 0.360 0.860 0.000
In2 0.860 0.640 0.000
In3 0.640 0.140 0.000
In4 0.140 0.360 0.000

***

(10)
This record from Alexandria describes Na2InCu after structural relaxation. The functional is GGA-PBE.

Calculated values
As for the space group: I-42d, No. 122. The value obtained for the raw total energy is -8.72 eV/f.u. As for the spin magnetization: 0.000 μB per cell. The calculation puts the calculated formation energy at 18.2 kJ per mole of atoms.

a b c (Å): 8.869 8.869 6.803
angles (deg): 49.32 49.32 90.00
Fractional positions:
Na1 0.551 0.125 0.250
Na2 0.199 0.625 0.250
Na3 0.375 0.449 0.750
Na4 0.875 0.801 0.750
Cu1 0.500 0.500 0.000
Cu2 0.250 0.750 0.500
In1 0.000 0.000 0.000
In2 0.750 0.250 0.500

***

(11)
This record from Alexandria describes NaIn5Cu after structural relaxation. The functional is GGA-PBE.

Calculated values
As for the space group: P4/mmm, No. 123. The value obtained for the raw total energy is -19.36 eV/f.u. As for the spin magnetization: 0.000 μB per cell. The calculation puts the calculated formation energy at -3.5 kJ per mole of atoms.

a b c (Å): 4.674 4.674 7.877
angles (deg): 90.00 90.00 90.00
Fractional positions:
Na1 0.000 0.000 0.000
In1 0.500 0.000 0.699
In2 0.000 0.500 0.699
In3 0.500 0.500 0.000
In4 0.000 0.500 0.301
In5 0.500 0.000 0.301
Cu1 0.000 0.000 0.500

***

(12)
This record from Alexandria describes NaIn3Cu8 after structural relaxation. The functional is GGA-PBE.

Calculated values
As for the space group: R3m, No. 160. The value obtained for the raw total energy is -42.28 eV/f.u. As for the spin magnetization: 0.000 μB per cell. The calculation puts the calculated formation energy at 0.2 kJ per mole of atoms.

a b c (Å): 5.084 5.084 8.740
angles (deg): 73.09 73.09 60.00
Fractional positions:
Na1 0.873 0.873 0.380
In1 0.377 0.377 0.868
In2 0.996 0.996 0.011
In3 0.503 0.503 0.490
Cu1 0.940 0.437 0.185
Cu2 0.434 0.938 0.690
Cu3 0.437 0.437 0.185
Cu4 0.938 0.938 0.690
Cu5 0.187 0.187 0.438
Cu6 0.688 0.688 0.937
Cu7 0.437 0.940 0.185
Cu8 0.938 0.434 0.690

***

(13)
This record from Alexandria describes Na2InCu after structural relaxation. The functional is GGA-PBE.

Calculated values
As for the space group: R-3m, No. 166. The value obtained for the raw total energy is -8.12 eV/f.u. As for the spin magnetization: 0.000 μB per cell. The calculation puts the calculated formation energy at 32.7 kJ per mole of atoms.

a b c (Å): 3.189 3.189 11.307
angles (deg): 81.89 81.89 60.00
Fractional positions:
Na1 0.081 0.081 0.756
Na2 0.919 0.919 0.244
Cu1 0.000 0.000 0.000
In1 0.500 0.500 0.500

***

(14)
This record from Alexandria describes NaIn2Cu2 after structural relaxation. The functional is GGA-PBE.

Calculated values
As for the space group: I4/mmm, No. 139. The value obtained for the raw total energy is -14.59 eV/f.u. As for the spin magnetization: 0.000 μB per cell. The calculation puts the calculated formation energy at 7.7 kJ per mole of atoms.

a b c (Å): 4.547 4.547 6.195
angles (deg): 68.47 68.47 90.00
Fractional positions:
Na1 0.000 0.000 0.000
Cu1 0.387 0.387 0.226
Cu2 0.613 0.613 0.774
In1 0.750 0.250 0.500
In2 0.250 0.750 0.500

***

(15)
This record from Alexandria describes NaIn7Cu2 after structural relaxation. The functional is GGA-PBE.

Calculated values
As for the space group: Cmmm, No. 65. The value obtained for the raw total energy is -27.50 eV/f.u. As for the spin magnetization: 0.000 μB per cell. The calculation puts the calculated formation energy at 11.4 kJ per mole of atoms.

a b c (Å): 5.109 7.592 7.592
angles (deg): 107.29 90.00 90.00
Fractional positions:
Na1 0.000 0.000 0.000
In1 0.000 0.705 0.295
In2 0.000 0.295 0.705
In3 0.500 0.073 0.326
In4 0.500 0.927 0.674
In5 0.500 0.326 0.073
In6 0.500 0.674 0.927
In7 0.500 0.500 0.500
Cu1 0.500 0.713 0.287
Cu2 0.500 0.287 0.713

***

(16)
This record from Alexandria describes NaIn2Cu2 after structural relaxation. The functional is GGA-PBE.

Calculated values
As for the space group: I4/mmm, No. 139. The value obtained for the raw total energy is -14.72 eV/f.u. As for the spin magnetization: 0.000 μB per cell. The calculation puts the calculated formation energy at 5.2 kJ per mole of atoms.

a b c (Å): 3.376 3.376 9.814
angles (deg): 80.10 80.10 90.00
Fractional positions:
Na1 0.000 0.000 0.000
Cu1 0.750 0.250 0.500
Cu2 0.250 0.750 0.500
In1 0.370 0.370 0.259
In2 0.630 0.630 0.741

***

(17)
This record from Alexandria describes NaIn3Cu3 after structural relaxation. The functional is GGA-PBE.

Calculated values
As for the space group: Pm-3n, No. 223. The value obtained for the raw total energy is -19.54 eV/f.u. As for the spin magnetization: 0.000 μB per cell. The calculation puts the calculated formation energy at 31.4 kJ per mole of atoms.

a b c (Å): 7.289 7.289 7.289
angles (deg): 90.00 90.00 90.00
Fractional positions:
Na1 0.500 0.500 0.500
Na2 0.000 0.000 0.000
Cu1 0.250 0.000 0.500
Cu2 0.000 0.500 0.250
Cu3 0.500 0.750 0.000
Cu4 0.750 0.000 0.500
Cu5 0.000 0.500 0.750
Cu6 0.500 0.250 0.000
In1 0.000 0.250 0.500
In2 0.000 0.750 0.500
In3 0.500 0.000 0.750
In4 0.750 0.500 0.000
In5 0.500 0.000 0.250
In6 0.250 0.500 0.000

***

(18)
This record from Alexandria describes Na3InCu after structural relaxation. The functional is GGA-PBE.

Calculated values
As for the space group: Pm-3m, No. 221. The value obtained for the raw total energy is -7.71 eV/f.u. As for the spin magnetization: 0.000 μB per cell. The calculation puts the calculated formation energy at 59.5 kJ per mole of atoms.

a b c (Å): 5.825 5.825 5.825
angles (deg): 90.00 90.00 90.00
Fractional positions:
Na1 0.000 0.500 0.000
Na2 0.000 0.000 0.500
Na3 0.500 0.000 0.000
Cu1 0.500 0.500 0.500
In1 0.000 0.000 0.000

***

(19)
This record from Alexandria describes NaIn2Cu2 after structural relaxation. The functional is GGA-PBE.

Calculated values
As for the space group: P4/mbm, No. 127. The value obtained for the raw total energy is -14.85 eV/f.u. As for the spin magnetization: 0.000 μB per cell. The calculation puts the calculated formation energy at 2.7 kJ per mole of atoms.

a b c (Å): 7.862 7.862 3.118
angles (deg): 90.00 90.00 90.00
Fractional positions:
Na1 0.000 0.000 0.000
Na2 0.500 0.500 0.000
Cu1 0.381 0.881 0.000
Cu2 0.881 0.619 0.000
Cu3 0.619 0.119 0.000
Cu4 0.119 0.381 0.000
In1 0.173 0.673 0.500
In2 0.673 0.827 0.500
In3 0.827 0.327 0.500
In4 0.327 0.173 0.500

***

(20)
This record from Alexandria describes NaIn4Cu2 after structural relaxation. The functional is GGA-PBE.

Calculated values
As for the space group: Pnma, No. 62. The value obtained for the raw total energy is -20.68 eV/f.u. As for the spin magnetization: 0.000 μB per cell. The calculation puts the calculated formation energy at -3.0 kJ per mole of atoms.

a b c (Å): 4.460 7.547 18.044
angles (deg): 90.00 90.00 90.00
Fractional positions:
Na1 0.750 0.951 0.645
Na2 0.250 0.049 0.355
Na3 0.250 0.451 0.855
Na4 0.750 0.549 0.145
In1 0.250 0.249 0.690
In2 0.750 0.751 0.310
In3 0.750 0.749 0.810
In4 0.250 0.251 0.190
In5 0.250 0.656 0.688
In6 0.750 0.344 0.312
In7 0.750 0.156 0.812
In8 0.250 0.844 0.188
In9 0.250 0.130 0.532
In10 0.750 0.870 0.468
In11 0.750 0.630 0.968
In12 0.250 0.370 0.032
In13 0.250 0.492 0.432
In14 0.750 0.508 0.568
In15 0.750 0.992 0.068
In16 0.250 0.008 0.932
Cu1 0.250 0.747 0.541
Cu2 0.750 0.253 0.459
Cu3 0.750 0.247 0.959
Cu4 0.250 0.753 0.041
Cu5 0.250 0.949 0.779
Cu6 0.750 0.051 0.221
Cu7 0.750 0.449 0.721
Cu8 0.250 0.551 0.279